[1]
# RbHgO (PBE, optimized geometry)
# Energy relative to the lowest polymorph listed for this composition = 0.000 eV per atom
data_RbHgO
_chemical_formula_sum 'Rb2 Hg2 O2'
_space_group_name_H-M_alt 'P 4/n m m'
_space_group_IT_number 129
_cell_length_a 4.021
_cell_length_b 4.021
_cell_length_c 9.172
_cell_angle_alpha 90.00
_cell_angle_beta 90.00
_cell_angle_gamma 90.00
loop_
_space_group_symop_operation_xyz
'x,y,z'
'-x,-y,-z'
'-y+1/2,x,z'
'y+1/2,-x,-z'
'-x+1/2,-y+1/2,z'
'x+1/2,y+1/2,-z'
'y,-x+1/2,z'
'-y,x+1/2,-z'
'x+1/2,-y,-z'
'-x+1/2,y,z'
'-y,-x,-z'
'y,x,z'
'-x,y+1/2,-z'
'x,-y+1/2,z'
'y+1/2,x+1/2,-z'
'-y+1/2,-x+1/2,z'
loop_
_atom_site_label
_atom_site_fract_x
_atom_site_fract_y
_atom_site_fract_z
Rb1 0.250 0.250 0.138
Hg1 0.250 0.250 0.585
O1 0.250 0.250 0.813

---

[2]
# Rb6Hg2O (PBE, optimized geometry)
# Energy relative to the lowest polymorph listed for this composition = 0.060 eV per atom
data_Rb6Hg2O
_chemical_formula_sum 'Rb12 Hg4 O2'
_space_group_name_H-M_alt 'A m m 2'
_space_group_IT_number 38
_cell_length_a 4.150
_cell_length_b 21.476
_cell_length_c 9.585
_cell_angle_alpha 90.00
_cell_angle_beta 90.00
_cell_angle_gamma 90.00
loop_
_space_group_symop_operation_xyz
'x,y,z'
'-x,-y,z'
'-x,y,z'
'x,-y,z'
'x,y+1/2,z+1/2'
'-x,-y+1/2,z+1/2'
'-x,y+1/2,z+1/2'
'x,-y+1/2,z+1/2'
loop_
_atom_site_label
_atom_site_fract_x
_atom_site_fract_y
_atom_site_fract_z
Rb1 0.000 0.000 0.000
Rb2 0.000 0.088 0.699
Rb3 0.500 0.000 0.427
Rb4 0.500 0.232 0.023
Hg1 0.000 0.141 0.300
O1 0.500 0.000 0.731

---

[3]
First-principles (PBE) data for Rb14Hg6O3 after structural relaxation, as listed in Alexandria.

Cell and atoms, written as CIF:
```
data_Rb14Hg6O3
_chemical_formula_sum 'Rb14 Hg6 O3'
_space_group_name_H-M_alt 'P 3'
_space_group_IT_number 143
_cell_length_a 13.4041
_cell_length_b 13.4041
_cell_length_c 7.4061
_cell_angle_alpha 90.00
_cell_angle_beta 90.00
_cell_angle_gamma 120.00
loop_
_space_group_symop_operation_xyz
'x,y,z'
'-y,x-y,z'
'-x+y,-x,z'
loop_
_atom_site_label
_atom_site_fract_x
_atom_site_fract_y
_atom_site_fract_z
Rb1 0.0000 0.0000 0.0000
Rb2 0.0870 0.8774 0.5526
Rb3 0.2014 0.4575 0.0730
Rb4 0.3333 0.6667 0.5219
Rb5 0.4670 0.2081 0.7076
Rb6 0.5467 0.4139 0.2824
Hg1 0.0348 0.5672 0.7545
Hg2 0.2984 0.1191 0.1980
O1 0.0000 0.0000 0.6567
O2 0.3333 0.6667 0.1770
O3 0.6667 0.3333 0.4951
```

---

[4]
# Rb6HgO (PBE, optimized geometry)
# Energy relative to the lowest polymorph listed for this composition = 0.000 eV per atom
data_Rb6HgO
_chemical_formula_sum 'Rb12 Hg2 O2'
_space_group_name_H-M_alt 'C 1 2/m 1'
_space_group_IT_number 12
_cell_length_a 9.121
_cell_length_b 13.113
_cell_length_c 7.802
_cell_angle_alpha 90.00
_cell_angle_beta 104.56
_cell_angle_gamma 90.00
loop_
_space_group_symop_operation_xyz
'x,y,z'
'-x,-y,-z'
'-x,y,-z'
'x,-y,z'
'x+1/2,y+1/2,z'
'-x+1/2,-y+1/2,-z'
'-x+1/2,y+1/2,-z'
'x+1/2,-y+1/2,z'
loop_
_atom_site_label
_atom_site_fract_x
_atom_site_fract_y
_atom_site_fract_z
Rb1 0.133 0.151 0.248
Rb2 0.242 0.500 0.131
Hg1 0.000 0.500 0.500
O1 0.000 0.000 0.000

---

[5]
# Rb8HgO2 (PBE, optimized geometry)
# Energy relative to the lowest polymorph listed for this composition = 0.000 eV per atom
data_Rb8HgO2
_chemical_formula_sum 'Rb16 Hg2 O4'
_space_group_name_H-M_alt 'C 1 2/m 1'
_space_group_IT_number 12
_cell_length_a 16.438
_cell_length_b 8.707
_cell_length_c 8.240
_cell_angle_alpha 90.00
_cell_angle_beta 104.25
_cell_angle_gamma 90.00
loop_
_space_group_symop_operation_xyz
'x,y,z'
'-x,-y,-z'
'-x,y,-z'
'x,-y,z'
'x+1/2,y+1/2,z'
'-x+1/2,-y+1/2,-z'
'-x+1/2,y+1/2,-z'
'x+1/2,-y+1/2,z'
loop_
_atom_site_label
_atom_site_fract_x
_atom_site_fract_y
_atom_site_fract_z
Rb1 0.144 0.000 0.198
Rb2 0.145 0.500 0.221
Rb3 0.157 0.252 0.814
Hg1 0.000 0.000 0.500
O1 0.247 0.500 0.005

---

[6]
First-principles (PBE) data for Rb8Hg3O after structural relaxation, as listed in Alexandria.

Cell and atoms, written as CIF:
```
data_Rb8Hg3O
_chemical_formula_sum 'Rb16 Hg6 O2'
_space_group_name_H-M_alt 'P 63 m c'
_space_group_IT_number 186
_space_group_name_Hall 'P 6c -2c'
_cell_length_a 11.3621
_cell_length_b 11.3621
_cell_length_c 11.5747
_cell_angle_alpha 90.00
_cell_angle_beta 90.00
_cell_angle_gamma 120.00
loop_
_atom_site_label
_atom_site_fract_x
_atom_site_fract_y
_atom_site_fract_z
Rb1 0.0000 0.0000 0.0095
Rb2 0.1015 0.5508 0.0000
Rb3 0.2146 0.4291 0.2714
Rb4 0.3333 0.6667 0.6517
Hg1 0.1475 0.2951 0.7557
O1 0.3333 0.6667 0.1365
```

---

[7]
# Rb4Hg2O (PBE, optimized geometry)
# Energy relative to the lowest polymorph listed for this composition = 0.000 eV per atom
data_Rb4Hg2O
_chemical_formula_sum 'Rb8 Hg4 O2'
_space_group_name_H-M_alt 'C 1 2/m 1'
_space_group_IT_number 12
_cell_length_a 17.770
_cell_length_b 4.335
_cell_length_c 7.511
_cell_angle_alpha 90.00
_cell_angle_beta 90.74
_cell_angle_gamma 90.00
loop_
_space_group_symop_operation_xyz
'x,y,z'
'-x,-y,-z'
'-x,y,-z'
'x,-y,z'
'x+1/2,y+1/2,z'
'-x+1/2,-y+1/2,-z'
'-x+1/2,y+1/2,-z'
'x+1/2,-y+1/2,z'
loop_
_atom_site_label
_atom_site_fract_x
_atom_site_fract_y
_atom_site_fract_z
Rb1 0.043 0.000 0.226
Rb2 0.144 0.500 0.869
Hg1 0.214 0.500 0.382
O1 0.000 0.500 0.000

---

[8]
# Rb2HgO (PBE, optimized geometry)
# Energy relative to the lowest polymorph listed for this composition = 0.019 eV per atom
data_Rb2HgO
_chemical_formula_sum 'Rb6 Hg3 O3'
_space_group_name_H-M_alt 'R -3 m'
_space_group_IT_number 166
_space_group_name_Hall '-R 3 2"'
_cell_length_a 4.1658
_cell_length_b 4.1658
_cell_length_c 28.2891
_cell_angle_alpha 90.00
_cell_angle_beta 90.00
_cell_angle_gamma 120.00
loop_
_atom_site_label
_atom_site_fract_x
_atom_site_fract_y
_atom_site_fract_z
Rb1 0.0000 0.0000 0.2155
Hg1 0.0000 0.0000 0.0000
O1 0.0000 0.0000 0.5000

---

[9]
First-principles (PBE) data for Rb7Hg3O2 after structural relaxation, as listed in Alexandria.

Cell and atoms, written as CIF:
```
data_Rb7Hg3O2
_chemical_formula_sum 'Rb14 Hg6 O4'
_space_group_name_H-M_alt 'C m m m'
_space_group_IT_number 65
_space_group_name_Hall '-C 2 2'
_cell_length_a 5.697
_cell_length_b 28.983
_cell_length_c 5.743
_cell_angle_alpha 90.00
_cell_angle_beta 90.00
_cell_angle_gamma 90.00
loop_
_atom_site_label
_atom_site_fract_x
_atom_site_fract_y
_atom_site_fract_z
Rb1 0.000 0.000 0.000
Rb2 0.000 0.100 0.500
Rb3 0.000 0.192 0.000
Rb4 0.000 0.402 0.000
Hg1 0.000 0.278 0.500
Hg2 0.000 0.500 0.500
O1 0.000 0.100 0.000
```

---

[10]
# Rb6HgO (PBE, optimized geometry)
# Energy relative to the lowest polymorph listed for this composition = 0.007 eV per atom
data_Rb6HgO
_chemical_formula_sum 'Rb24 Hg4 O4'
_space_group_name_H-M_alt 'C 1 2/c 1'
_space_group_IT_number 15
_cell_length_a 15.207
_cell_length_b 7.981
_cell_length_c 15.672
_cell_angle_alpha 90.00
_cell_angle_beta 110.34
_cell_angle_gamma 90.00
loop_
_space_group_symop_operation_xyz
'x,y,z'
'-x,-y,-z'
'-x,y,-z+1/2'
'x,-y,z+1/2'
'x+1/2,y+1/2,z'
'-x+1/2,-y+1/2,-z'
'-x+1/2,y+1/2,-z+1/2'
'x+1/2,-y+1/2,z+1/2'
loop_
_atom_site_label
_atom_site_fract_x
_atom_site_fract_y
_atom_site_fract_z
Rb1 0.084 0.085 0.395
Rb2 0.145 0.473 0.013
Rb3 0.237 0.118 0.662
Hg1 0.000 0.396 0.750
O1 0.250 0.250 0.500

---

[11]
# Rb4HgO (PBE, optimized geometry)
# Energy relative to the lowest polymorph listed for this composition = 0.000 eV per atom
data_Rb4HgO
_chemical_formula_sum 'Rb8 Hg2 O2'
_space_group_name_H-M_alt 'P 1 21/m 1'
_space_group_IT_number 11
_cell_length_a 5.777
_cell_length_b 8.319
_cell_length_c 11.795
_cell_angle_alpha 90.00
_cell_angle_beta 104.09
_cell_angle_gamma 90.00
loop_
_space_group_symop_operation_xyz
'x,y,z'
'-x,-y,-z'
'-x,y+1/2,-z'
'x,-y+1/2,z'
loop_
_atom_site_label
_atom_site_fract_x
_atom_site_fract_y
_atom_site_fract_z
Rb1 0.000 0.000 0.000
Rb2 0.171 0.018 0.342
Rb3 0.420 0.750 0.840
Hg1 0.398 0.250 0.796
O1 0.090 0.250 0.180

---

[12]
First-principles (PBE) data for Rb6Hg3O after structural relaxation, as listed in Alexandria.

Cell and atoms, written as CIF:
```
data_Rb6Hg3O
_chemical_formula_sum 'Rb12 Hg6 O2'
_space_group_name_H-M_alt 'P 1 21/c 1'
_space_group_IT_number 14
_cell_length_a 8.924
_cell_length_b 11.273
_cell_length_c 10.012
_cell_angle_alpha 90.00
_cell_angle_beta 112.19
_cell_angle_gamma 90.00
loop_
_space_group_symop_operation_xyz
'x,y,z'
'-x,-y,-z'
'-x,y+1/2,-z+1/2'
'x,-y+1/2,z+1/2'
loop_
_atom_site_label
_atom_site_fract_x
_atom_site_fract_y
_atom_site_fract_z
Rb1 0.058 0.001 0.285
Rb2 0.256 0.672 0.555
Rb3 0.257 0.171 0.054
Hg1 0.355 0.001 0.723
Hg2 0.500 0.000 0.500
O1 0.000 0.000 0.000
```

---

no.,total moment (μB/f.u.),ΔE_f (raw) (eV/atom),E_tot (eV/atom)
1,0.000,-0.637,-2.713
2,0.000,-0.351,-1.614
3,0.000,-0.423,-1.737
4,0.000,-0.403,-1.786
5,0.000,-0.536,-2.168
6,0.000,-0.309,-1.443
7,0.000,-0.507,-1.854
8,0.158,-0.693,-2.491
9,0.000,-0.546,-2.012
10,0.000,-0.396,-1.779
11,0.000,-0.522,-2.044
12,0.000,-0.411,-1.578